1.
Nd6DyPb: relaxed, GGA-PBE.

Unit cell a=5.0293 b=5.0293 c=10.4063 alpha=90.00 beta=90.00 gamma=90.00
Fractional coordinates of all 8 atoms:
Nd  0.5000  0.0000  0.7556
Nd  0.5000  0.5000  0.0000
Nd  0.0000  0.5000  0.7556
Nd  0.5000  0.5000  0.5000
Nd  0.0000  0.5000  0.2444
Nd  0.5000  0.0000  0.2444
Pb  0.0000  0.0000  0.0000
Dy  0.0000  0.0000  0.5000

## Properties
Crystal system = tetragonal
Space group = P4/mmm (123)



2.
PmZnIrAu: relaxed, GGA-PBE.

Unit cell a=4.8085 b=4.8085 c=4.8085 alpha=60.00 beta=60.00 gamma=60.00
Fractional coordinates of all 4 atoms:
Pm  0.7500  0.7500  0.7500
Ir  0.5000  0.5000  0.5000
Au  0.0000  0.0000  0.0000
Zn  0.2500  0.2500  0.2500

## Properties
Crystal system = cubic
Space group = F-43m (216)



3.
Ac6PmSn2: relaxed, GGA-PBE.

Unit cell a=5.6357 b=12.2124 c=12.2124 alpha=59.93 beta=89.98 gamma=89.98
Fractional coordinates of all 18 atoms:
Sn  0.7484  0.5203  0.1744
Sn  0.2516  0.4797  0.8256
Sn  0.2484  0.1744  0.5203
Sn  0.7516  0.8256  0.4797
Ac  0.2482  0.4979  0.3319
Ac  0.2493  0.9908  0.2073
Ac  0.7518  0.5021  0.6681
Ac  0.2507  0.7927  0.0092
Ac  0.7487  0.1346  0.3562
Ac  0.7513  0.6438  0.8654
Ac  0.7482  0.3319  0.4979
Ac  0.2518  0.6681  0.5021
Ac  0.2487  0.3562  0.1346
Ac  0.2513  0.8654  0.6438
Ac  0.7507  0.0092  0.7927
Ac  0.7493  0.2073  0.9908
Pm  0.2500  0.2439  0.7561
Pm  0.7500  0.7561  0.2439

## Properties
Crystal system = monoclinic
Space group = C2/c (15)



Number 1: ΔE_f -1.16 eV per formula unit. Number 2: ΔE_f -1.35 eV per formula unit. Number 3: ΔE_f -1.81 eV per formula unit.